Entry 1:
# Pu2HfSc

A relaxed Pu2HfSc crystal (PBE, the Alexandria database).

```
Pu2HfSc
1.0
4.5112 0.0000 0.0000
0.0000 4.5112 0.0000
0.0000 0.0000 4.6623
Pu Hf Sc
2 1 1
direct
0.0000 0.5000 0.0000
0.5000 0.0000 0.0000
0.0000 0.0000 0.5000
0.5000 0.5000 0.5000
```

Results
N(E_F), states/eV/atom: 2.8540
Relative energy among the computed polymorphs, eV/atom: 0.014
Size of the total moment, μB/cell: 11.0
Total energy, eV per cell: -44.339
Formation enthalpy at 0 K, meV/atom: 152.3

Entry 2:
# Ni8IrPt6

A relaxed Ni8IrPt6 crystal (PBE, the Alexandria database).

```
Ni8IrPt6
1.0
3.5999 2.0784 4.5666
-3.5999 2.0784 4.5666
0.0000 -4.1568 4.5666
Ni Ir Pt
8 1 6
direct
0.0455 0.3927 0.8607
0.1393 0.9545 0.6073
0.2394 0.2394 0.2394
0.3927 0.8607 0.0455
0.6073 0.1393 0.9545
0.7606 0.7606 0.7606
0.8607 0.0455 0.3927
0.9545 0.6073 0.1393
0.0000 0.0000 0.0000
0.1716 0.6245 0.4287
0.3755 0.5713 0.8284
0.4287 0.1716 0.6245
0.5713 0.8284 0.3755
0.6245 0.4287 0.1716
0.8284 0.3755 0.5713
```

Results
N(E_F), states/eV/atom: 1.6958
Size of the total moment, μB/cell: 8.2
Total energy, eV per cell: -89.060
Formation enthalpy at 0 K, meV/atom: 153.1

Entry 3:
# Ce3Pu2NpN6

A relaxed Ce3Pu2NpN6 crystal (PBE, the Alexandria database).

```
Ce3Pu2NpN6
1.0
3.0516 -5.2827 0.0000
3.0516 5.2827 0.0000
-2.0342 0.0000 5.7520
Ce Pu Np N
3 2 1 6
direct
0.0000 0.0000 0.0000
0.3320 0.6680 0.0000
0.6680 0.3320 0.0000
0.1664 0.8336 0.5000
0.8336 0.1664 0.5000
0.5000 0.5000 0.5000
0.0979 0.4227 0.2678
0.2535 0.2535 0.7350
0.4227 0.0979 0.2678
0.5773 0.9021 0.7322
0.7465 0.7465 0.2650
0.9021 0.5773 0.7322
```

Results
N(E_F), states/eV/atom: 1.7405
Size of the total moment, μB/cell: 14.7
Formation energy (no corrections), eV per atom: -1.36
Total energy, eV per cell: -125.710

Entry 4:
# NaCIN2

A relaxed NaCIN2 crystal (PBE, the Alexandria database).

```
NaCIN2
1.0
4.4302 0.0000 0.0000
0.0000 4.4302 0.0000
0.0000 0.0000 6.3898
Na C I N
1 1 1 2
direct
0.0000 0.0000 0.0000
0.5000 0.5000 0.5000
0.0000 0.0000 0.5000
0.0000 0.5000 0.0000
0.5000 0.0000 0.0000
```

Results
N(E_F), states/eV/atom: 0.4476
Relative energy among the computed polymorphs, eV/atom: 0.819
Size of the total moment, μB/cell: 4.0
Formation energy (no corrections), eV per atom: 2.96
Total energy, eV per cell: -13.951

Entry 5:
# BaPb2W

A relaxed BaPb2W crystal (PBE, the Alexandria database).

```
BaPb2W
1.0
4.5678 -2.0615 0.0000
4.5678 2.0615 0.0000
-2.0159 0.0000 6.5308
Ba Pb W
1 2 1
direct
0.0000 0.0000 0.0000
0.2258 0.2258 0.6684
0.7742 0.7742 0.3316
0.5000 0.5000 0.5000
```

Results
N(E_F), states/eV/atom: 0.8193
Relative energy among the computed polymorphs, eV/atom: 0.071
Size of the total moment, μB/cell: 1.2
Total energy, eV per cell: -20.113
Formation enthalpy at 0 K, meV/atom: 544.8

Entry 6:
# MgNi2H4

A relaxed MgNi2H4 crystal (PBE, the Alexandria database).

```
MgNi2H4
1.0
1.4492 -4.3655 0.0000
1.4492 4.3655 0.0000
0.0000 0.0000 7.9278
Mg Ni H
2 4 8
direct
0.0948 0.9052 0.7500
0.9052 0.0948 0.2500
0.3642 0.6358 0.5573
0.3642 0.6358 0.9427
0.6358 0.3642 0.0573
0.6358 0.3642 0.4427
0.0000 0.0000 0.0000
0.0000 0.0000 0.5000
0.2452 0.7548 0.1053
0.2452 0.7548 0.3947
0.4291 0.5709 0.7500
0.5709 0.4291 0.2500
0.7548 0.2452 0.6053
0.7548 0.2452 0.8947
```

Results
N(E_F), states/eV/atom: 0.1868
Relative energy among the computed polymorphs, eV/atom: 0.000
Size of the total moment, μB/cell: 0.0
Total energy, eV per cell: -54.613